Record 1
Density functional theory data (PBE) for an optimized crystal structure of Mn3SiH.

Summary:
The energy above the most stable polymorph in this dataset is 18.4 kJ per mole of atoms. The space group is Pnma, No. 62. Its crystal system is orthorhombic.

Cell lengths 4.1829, 10.3212, 4.7322 Å; angles 90.00, 90.00, 90.00 degrees
Last column: nearest neighbours and their distance in Å.
Fractional positions:
H: 0.6185 0.2500 0.6112  4 Mn 1.69-1.70
H: 0.8815 0.7500 0.1112  4 Mn 1.69-1.70
H: 0.3815 0.7500 0.3888  4 Mn 1.69-1.70
H: 0.1185 0.2500 0.8888  4 Mn 1.69-1.70
Si: 0.0000 0.0000 0.5000  8 Mn 2.35-2.59
Si: 0.5000 0.5000 0.0000  8 Mn 2.35-2.59
Si: 0.5000 0.0000 0.0000  8 Mn 2.35-2.59
Si: 0.0000 0.5000 0.5000  8 Mn 2.35-2.59
Mn: 0.0005 0.8815 0.9239  1 H 1.70
Mn: 0.4995 0.3815 0.4239  1 H 1.70
Mn: 0.4995 0.1185 0.4239  1 H 1.70
Mn: 0.9995 0.3815 0.0761  1 H 1.70
Mn: 0.9995 0.1185 0.0761  1 H 1.70
Mn: 0.5005 0.6185 0.5761  1 H 1.70
Mn: 0.5005 0.8815 0.5761  1 H 1.70
Mn: 0.0005 0.6185 0.9239  1 H 1.70
Mn: 0.5168 0.2500 0.9559  2 H 1.69-1.70
Mn: 0.9832 0.7500 0.4559  2 H 1.69-1.70
Mn: 0.4832 0.7500 0.0441  2 H 1.69-1.70
Mn: 0.0168 0.2500 0.5441  2 H 1.69-1.70



Record 2
Density functional theory data (PBE) for an optimized crystal structure of ReHgW.

Summary:
The energy of formation comes out at 1.14 eV/atom. The energy above the most stable polymorph in this dataset is 53.8 kJ per mole of atoms. The space group is F-43m, No. 216. Its crystal system is cubic.

Cell lengths 4.4039, 4.4039, 4.4039 Å; angles 60.00, 60.00, 60.00 degrees
Last column: nearest neighbours and their distance in Å.
Fractional positions:
Hg: 0.5000 0.5000 0.5000  4 Re 2.70
Re: 0.7500 0.7500 0.7500  4 Hg 2.70, 4 W 2.70
W: 0.0000 0.0000 0.0000  4 Re 2.70



Record 3
Density functional theory data (PBE) for an optimized crystal structure of ZrReP2.

Summary:
The energy of formation comes out at -0.09 eV/atom. The energy above the most stable polymorph in this dataset is 61.5 kJ per mole of atoms. The space group is R3m, No. 160. Its crystal system is trigonal.

Cell lengths 8.1247, 8.1247, 8.1247 Å; angles 21.82, 21.82, 21.82 degrees
Last column: nearest neighbours and their distance in Å.
Fractional positions:
Zr: 0.2538 0.2538 0.2538  3 P 2.71, 3 Re 2.97
Re: 0.4871 0.4871 0.4871  3 P 2.40
P: 0.0067 0.0067 0.0067  3 P 2.59, 3 Zr 2.71
P: 0.7525 0.7525 0.7525  3 Re 2.40, 3 P 2.59



Record 4
Density functional theory data (PBE) for an optimized crystal structure of Th5Pt4Rh.

Summary:
The energy of formation comes out at -1.14 eV/atom. The space group is I4/m, No. 87. Its crystal system is tetragonal.

Cell lengths 5.9132, 7.2433, 7.2433 Å; angles 80.41, 65.91, 65.91 degrees
Last column: nearest neighbours and their distance in Å.
Fractional positions:
Th: 0.9022 0.3932 0.8044  1 Rh 2.90, 5 Pt 2.96-2.99
Th: 0.2955 0.8044 0.6068  1 Rh 2.90, 5 Pt 2.96-2.99
Th: 0.7066 0.1956 0.3932  1 Rh 2.90, 5 Pt 2.96-2.99
Th: 0.0999 0.6068 0.1956  1 Rh 2.90, 5 Pt 2.96-2.99
Th: 0.5010 0.0000 0.0000  2 Rh 2.96, 4 Pt 2.96
Pt: 0.4031 0.3987 0.7970  6 Th 2.96-2.99
Pt: 0.8018 0.7970 0.6013  6 Th 2.96-2.99
Pt: 0.2001 0.2030 0.3987  6 Th 2.96-2.99
Pt: 0.5988 0.6013 0.2030  6 Th 2.96-2.99
Rh: 0.0012 0.0000 0.0000  6 Th 2.90-2.96



Record 5
Density functional theory data (PBE) for an optimized crystal structure of Sc4GaSn2.

Summary:
The energy of formation comes out at -0.30 eV/atom. The energy above the most stable polymorph in this dataset is 22.6 kJ per mole of atoms. The space group is I4/mmm, No. 139. Its crystal system is tetragonal.

Cell lengths 4.8881, 4.8881, 8.3436 Å; angles 72.97, 72.97, 90.00 degrees
Last column: nearest neighbours and their distance in Å.
Fractional positions:
Sc: 0.1742 0.1742 0.6517  1 Ga 2.65, 1 Sn 2.93
Sc: 0.8258 0.8258 0.3483  1 Ga 2.65, 1 Sn 2.93
Sc: 0.0000 0.5000 0.0000  2 Ga 2.44
Sc: 0.5000 0.0000 0.0000  2 Ga 2.44
Sn: 0.3669 0.3669 0.2663  5 Sc 2.93-3.17
Sn: 0.6331 0.6331 0.7337  5 Sc 2.93-3.17
Ga: 0.0000 0.0000 0.0000  6 Sc 2.44-2.65



Record 6
Density functional theory data (PBE) for an optimized crystal structure of Ir11Ru9Rh4.

Summary:
The energy of formation comes out at 0.05 eV/atom. The space group is Cmmm, No. 65. Its crystal system is orthorhombic.

Cell lengths 2.7146, 11.2656, 11.2656 Å; angles 91.48, 90.00, 90.00 degrees
Last column: nearest neighbours and their distance in Å.
Fractional positions:
Ir: 0.0000 0.5883 0.9261  4 Ir 2.63-2.73, 6 Ru 2.69-2.80, 2 Rh 2.70
Ir: 0.0000 0.4117 0.0739  4 Ir 2.63-2.73, 6 Ru 2.69-2.80, 2 Rh 2.70
Ir: 0.0000 0.9261 0.5883  4 Ir 2.63-2.73, 6 Ru 2.69-2.80, 2 Rh 2.70
Ir: 0.0000 0.0739 0.4117  4 Ir 2.63-2.73, 6 Ru 2.69-2.80, 2 Rh 2.70
Ir: 0.0000 0.6526 0.3474  3 Ir 2.71-2.83, 4 Rh 2.79, 6 Ru 2.81
Ir: 0.0000 0.3474 0.6526  3 Ir 2.71-2.83, 4 Rh 2.79, 6 Ru 2.81
Ir: 0.0000 0.8283 0.1717  8 Ru 2.71-2.73, 4 Ir 2.71-2.83
Ir: 0.0000 0.1717 0.8283  8 Ru 2.71-2.73, 4 Ir 2.71-2.83
Ir: 0.0000 0.0000 0.0000  4 Ir 2.71-2.77, 8 Ru 2.72
Ir: 0.0000 0.7600 0.7600  4 Ru 2.68, 4 Rh 2.71, 4 Ir 2.71-2.73
Ir: 0.0000 0.2400 0.2400  4 Ru 2.68, 4 Rh 2.71, 4 Ir 2.71-2.73
Ru: 0.5000 0.6235 0.1301  1 Rh 2.64, 8 Ir 2.69-2.81, 3 Ru 2.71
Ru: 0.5000 0.3765 0.8699  1 Rh 2.64, 8 Ir 2.69-2.81, 3 Ru 2.71
Ru: 0.5000 0.1301 0.6235  1 Rh 2.64, 8 Ir 2.69-2.81, 3 Ru 2.71
Ru: 0.5000 0.8699 0.3765  1 Rh 2.64, 8 Ir 2.69-2.81, 3 Ru 2.71
Ru: 0.5000 0.7926 0.9634  8 Ir 2.68-2.73, 4 Ru 2.71-2.76
Ru: 0.5000 0.2074 0.0366  8 Ir 2.68-2.73, 4 Ru 2.71-2.76
Ru: 0.5000 0.9634 0.7926  8 Ir 2.68-2.73, 4 Ru 2.71-2.76
Ru: 0.5000 0.0366 0.2074  8 Ir 2.68-2.73, 4 Ru 2.71-2.76
Ru: 0.5000 0.5000 0.5000  4 Rh 2.55, 2 Ru 2.71, 4 Ir 2.81
Rh: 0.5000 0.5540 0.7213  2 Ru 2.55-2.64, 6 Ir 2.70-2.79, 3 Rh 2.70-2.71
Rh: 0.5000 0.4460 0.2787  2 Ru 2.55-2.64, 6 Ir 2.70-2.79, 3 Rh 2.70-2.71
Rh: 0.5000 0.7213 0.5540  2 Ru 2.55-2.64, 6 Ir 2.70-2.79, 3 Rh 2.70-2.71
Rh: 0.5000 0.2787 0.4460  2 Ru 2.55-2.64, 6 Ir 2.70-2.79, 3 Rh 2.70-2.71



Record 7
Density functional theory data (PBE) for an optimized crystal structure of Pr2GaSi4Pt3.

Summary:
The calculation puts the energy relative to the elements, uncorrected at -22.8 kcal/mol of atoms. The space group is P-4m2, No. 115. Its crystal system is tetragonal.

Cell lengths 4.2850, 4.2850, 9.9736 Å; angles 90.00, 90.00, 90.00 degrees
Last column: nearest neighbours and their distance in Å.
Fractional positions:
Pr: 0.5000 0.0000 0.2465  8 Si 3.24-3.26, 6 Pt 3.29-3.31, 2 Ga 3.31
Pr: 0.0000 0.5000 0.7535  8 Si 3.24-3.26, 6 Pt 3.29-3.31, 2 Ga 3.31
Ga: 0.5000 0.5000 0.5000  4 Si 2.55
Si: 0.5000 0.5000 0.0000  4 Pt 2.45
Si: 0.0000 0.0000 0.0000  4 Pt 2.45
Si: 0.5000 0.0000 0.6387  3 Pt 2.43-2.55, 2 Ga 2.55
Si: 0.0000 0.5000 0.3613  3 Pt 2.43-2.55, 2 Ga 2.55
Pt: 0.0000 0.0000 0.5000  4 Si 2.55
Pt: 0.5000 0.0000 0.8818  5 Si 2.43-2.45
Pt: 0.0000 0.5000 0.1182  5 Si 2.43-2.45



Record 8
Density functional theory data (PBE) for an optimized crystal structure of KHgAu2.

Summary:
The energy of formation comes out at -0.03 eV/atom. The space group is Immm, No. 71. Its crystal system is orthorhombic.

Cell lengths 5.3295, 5.3295, 5.3295 Å; angles 125.02, 114.23, 90.90 degrees
Last column: nearest neighbours and their distance in Å.
Fractional positions:
Au: 0.9475 0.9475 0.0000  2 Hg 2.87, 1 Au 2.95
Au: 0.5525 0.5525 0.0000  2 Hg 2.87, 1 Au 2.95
Hg: 0.7500 0.2500 0.5000  4 Au 2.87
K: 0.2500 0.7500 0.5000  8 Au 3.25-3.34



Record 9
Density functional theory data (PBE) for an optimized crystal structure of CsCaY2Mo.

Summary:
The energy of formation comes out at 0.59 eV/atom. The space group is P4/mmm, No. 123. Its crystal system is tetragonal.

Cell lengths 5.4688, 6.2975, 5.4688 Å; angles 90.00, 90.00, 90.00 degrees
Last column: nearest neighbours and their distance in Å.
Fractional positions:
Cs: 0.5000 0.5000 0.5000  4 Ca 3.87, 8 Y 4.17
Y: 0.0000 0.0000 0.5000  2 Mo 2.73
Y: 0.5000 0.0000 0.0000  2 Mo 2.73
Mo: 0.0000 0.0000 0.0000  4 Y 2.73
Ca: 0.0000 0.5000 0.0000  2 Mo 3.15



Record 10
Density functional theory data (PBE) for an optimized crystal structure of Na2SrSb2.

Summary:
The calculation puts the energy relative to the elements, uncorrected at -12.6 kcal/mol of atoms. The energy above the most stable polymorph in this dataset is 0.0 kJ per mole of atoms. The space group is I4/mmm, No. 139. Its crystal system is tetragonal.

Cell lengths 4.8098, 4.8098, 7.6820 Å; angles 71.76, 71.76, 90.00 degrees
Last column: nearest neighbours and their distance in Å.
Fractional positions:
Sb: 0.3956 0.3956 0.2088  1 Sb 2.88, 4 Na 3.13
Sb: 0.6044 0.6044 0.7912  1 Sb 2.88, 4 Na 3.13
Na: 0.7500 0.2500 0.5000  4 Sb 3.13, 4 Na 3.40
Na: 0.2500 0.7500 0.5000  4 Sb 3.13, 4 Na 3.40
Sr: 0.0000 0.0000 0.0000  8 Sb 3.69



Record 11
Density functional theory data (PBE) for an optimized crystal structure of Tb2PuCl.

Summary:
The calculation puts the energy relative to the elements, uncorrected at -13.7 kcal/mol of atoms. The space group is R-3m, No. 166. Its crystal system is trigonal.

Cell lengths 3.5560, 3.5560, 10.0675 Å; angles 79.83, 79.83, 60.00 degrees
Last column: nearest neighbours and their distance in Å.
Fractional positions:
Cl: 0.0000 0.0000 0.0000  6 Tb 3.01
Tb: 0.7413 0.7413 0.7762  3 Cl 3.01
Tb: 0.2587 0.2587 0.2238  3 Cl 3.01
Pu: 0.5000 0.5000 0.5000  6 Tb 3.41, 6 Pu 3.56



Record 12
Density functional theory data (PBE) for an optimized crystal structure of Cs2RbHgBi.

Summary:
The energy of formation comes out at -0.16 eV/atom. The energy above the most stable polymorph in this dataset is 0.4 kJ per mole of atoms. The space group is P4/mmm, No. 123. Its crystal system is tetragonal.

Cell lengths 7.3104, 7.3104, 5.8777 Å; angles 90.00, 90.00, 90.00 degrees
Last column: nearest neighbours and their distance in Å.
Fractional positions:
Cs: 0.0000 0.5000 0.0000  2 Hg 3.66
Cs: 0.5000 0.0000 0.0000  2 Hg 3.66
Bi: 0.0000 0.0000 0.5000  2 Hg 2.94
Rb: 0.5000 0.5000 0.5000  8 Cs 4.69, 4 Bi 5.17
Hg: 0.0000 0.0000 0.0000  2 Bi 2.94



Number 1: E_tot -146.154 eV/cell, D(E_F) 3.72 states/eV/f.u., volume 204.3 Å³/cell. Number 2: E_tot -22.298 eV/cell, D(E_F) 4.07 states/eV/f.u., volume 60.4 Å³/cell. Number 3: E_tot -32.188 eV/cell, D(E_F) 2.81 states/eV/f.u., volume 65.0 Å³/cell. Number 4: E_tot -80.059 eV/cell, D(E_F) 5.79 states/eV/f.u., volume 258.5 Å³/cell. Number 5: E_tot -38.465 eV/cell, D(E_F) 3.94 states/eV/f.u., volume 181.4 Å³/cell. Number 6: E_tot -209.179 eV/cell, D(E_F) 27.96 states/eV/f.u., volume 344.4 Å³/cell. Number 7: E_tot -62.270 eV/cell, D(E_F) 3.50 states/eV/f.u., volume 183.1 Å³/cell. Number 8: E_tot -8.068 eV/cell, D(E_F) 1.09 states/eV/f.u., volume 106.5 Å³/cell. Number 9: E_tot -23.642 eV/cell, D(E_F) 5.60 states/eV/f.u., volume 188.3 Å³/cell. Number 10: E_tot -15.296 eV/cell, D(E_F) 0.90 states/eV/f.u., volume 159.4 Å³/cell. Number 11: E_tot -27.813 eV/cell, D(E_F) 6.96 states/eV/f.u., volume 107.9 Å³/cell. Number 12: E_tot -7.640 eV/cell, D(E_F) 2.07 states/eV/f.u., volume 314.1 Å³/cell.